#a
SrCa2MgAu GGA-PBE relaxed; total magnetic moment = 0.00 μB/f.u.; ρ = 3.601 g cm⁻³; space group = P4/mmm (123)
1.0
5.783 0.000 0.000
0.000 5.783 0.000
0.000 0.000 5.364
Sr Ca Mg Au
1 2 1 1
direct
0.000 0.000 0.000
0.000 0.500 0.500
0.500 0.000 0.500
0.500 0.500 0.000
0.500 0.500 0.500

#b
SrCa2MgAu GGA-PBE relaxed; total magnetic moment = 0.00 μB/f.u.; ρ = 3.269 g cm⁻³; space group = P4/mmm (123)
1.0
5.734 0.000 0.000
0.000 5.734 0.000
0.000 0.000 6.010
Sr Ca Mg Au
1 2 1 1
direct
0.000 0.000 0.000
0.000 0.500 0.500
0.500 0.000 0.500
0.500 0.500 0.000
0.000 0.000 0.500

Tell me which of them is the most stable. Sure, it is #a.

#a
Ca2MgTlAu GGA-PBE relaxed; total magnetic moment = 0.00 μB/f.u.; ρ = 5.080 g cm⁻³; space group = P4/mmm (123)
1.0
5.702 0.000 0.000
0.000 5.702 0.000
0.000 0.000 5.085
Ca Mg Tl Au
2 1 1 1
direct
0.000 0.500 0.000
0.500 0.000 0.000
0.000 0.000 0.500
0.500 0.500 0.500
0.000 0.000 0.000

#b
Ca2MgTlAu GGA-PBE relaxed; total magnetic moment = 0.00 μB/f.u.; ρ = 4.606 g cm⁻³; space group = P4/mmm (123)
1.0
5.942 0.000 0.000
0.000 5.942 0.000
0.000 0.000 5.164
Ca Mg Tl Au
2 1 1 1
direct
0.000 0.500 0.000
0.500 0.000 0.000
0.000 0.000 0.500
0.000 0.000 0.000
0.500 0.500 0.500

Tell me which of them is the most stable. Sure, it is #a.

#a
CaMn2Au2 GGA-PBE relaxed; total magnetic moment = 7.98 μB/f.u.; ρ = 9.477 g cm⁻³; space group = P4/mbm (127)
1.0
7.836 0.000 0.000
0.000 7.836 0.000
0.000 0.000 3.104
Ca Mn Au
2 4 4
direct
0.000 0.000 0.000
0.500 0.500 0.000
0.126 0.374 0.000
0.374 0.874 0.000
0.626 0.126 0.000
0.874 0.626 0.000
0.169 0.669 0.500
0.331 0.169 0.500
0.669 0.831 0.500
0.831 0.331 0.500

#b
CaMn2Au2 GGA-PBE relaxed; total magnetic moment = 7.96 μB/f.u.; ρ = 9.282 g cm⁻³; space group = P4/mbm (127)
1.0
7.815 0.000 0.000
0.000 7.815 0.000
0.000 0.000 3.186
Ca Mn Au
2 4 4
direct
0.000 0.000 0.000
0.500 0.500 0.000
0.154 0.346 0.500
0.346 0.846 0.500
0.654 0.154 0.500
0.846 0.654 0.500
0.140 0.640 0.000
0.360 0.140 0.000
0.640 0.860 0.000
0.860 0.360 0.000

Tell me which of them is the most stable. Sure, it is #a.

#a
CaMn3Au GGA-PBE relaxed; total magnetic moment = 12.73 μB/f.u.; ρ = 5.297 g cm⁻³; space group = Pm-3m (221)
1.0
5.013 0.000 0.000
0.000 5.013 0.000
0.000 0.000 5.013
Ca Mn Au
1 3 1
direct
0.000 0.000 0.000
0.000 0.500 0.500
0.500 0.000 0.500
0.500 0.500 0.000
0.500 0.500 0.500

#b
CaMn3Au GGA-PBE relaxed; total magnetic moment = 10.79 μB/f.u.; ρ = 6.426 g cm⁻³; space group = Pm-3m (221)
1.0
4.700 0.000 0.000
0.000 4.700 0.000
0.000 0.000 4.700
Ca Mn Au
1 3 1
direct
0.000 0.000 0.000
0.000 0.000 0.500
0.000 0.500 0.000
0.500 0.000 0.000
0.500 0.500 0.500

Tell me which of them is the most stable. Sure, it is #a.

#a
Ca3MnAu GGA-PBE relaxed; total magnetic moment = 4.60 μB/f.u.; ρ = 3.430 g cm⁻³; space group = Pm-3m (221)
1.0
5.648 0.000 0.000
0.000 5.648 0.000
0.000 0.000 5.648
Ca Mn Au
3 1 1
direct
0.000 0.000 0.500
0.000 0.500 0.000
0.500 0.000 0.000
0.500 0.500 0.500
0.000 0.000 0.000

#b
Ca3MnAu GGA-PBE relaxed; total magnetic moment = 2.14 μB/f.u.; ρ = 4.042 g cm⁻³; space group = Pm-3m (221)
1.0
5.347 0.000 0.000
0.000 5.347 0.000
0.000 0.000 5.347
Ca Mn Au
3 1 1
direct
0.000 0.000 0.500
0.000 0.500 0.000
0.500 0.000 0.000
0.000 0.000 0.000
0.500 0.500 0.500

Tell me which of them is the most stable. Sure, it is #a.

#a
CaMo2Au GGA-PBE relaxed; total magnetic moment = 0.00 μB/f.u.; ρ = 8.660 g cm⁻³; space group = I-42d (122)
1.0
-1.952 1.952 10.792
1.952 -1.952 10.792
1.952 1.952 -10.792
Ca Mo Au
2 4 2
direct
0.000 0.000 0.000
0.750 0.250 0.500
0.178 0.625 0.053
0.375 0.428 0.553
0.572 0.125 0.947
0.875 0.822 0.447
0.250 0.750 0.500
0.500 0.500 0.000

#b
CaMo2Au GGA-PBE relaxed; total magnetic moment = 0.00 μB/f.u.; ρ = 9.281 g cm⁻³; space group = P2/m (10)
1.0
2.957 0.000 0.000
0.000 5.271 0.000
-0.321 0.000 4.923
Ca Mo Au
1 2 1
direct
0.000 0.000 0.000
0.372 0.500 0.756
0.628 0.500 0.244
0.500 0.000 0.500

Tell me which of them is the most stable. Sure, it is #b.

#a
CaMo2Au GGA-PBE relaxed; total magnetic moment = 0.00 μB/f.u.; ρ = 8.107 g cm⁻³; space group = P4/mmm (123)
1.0
3.697 0.000 0.000
0.000 3.697 0.000
0.000 0.000 6.429
Ca Mo Au
1 2 1
direct
0.000 0.000 0.000
0.500 0.500 0.331
0.500 0.500 0.669
0.000 0.000 0.500

#b
CaMo2Au GGA-PBE relaxed; total magnetic moment = 0.00 μB/f.u.; ρ = 9.519 g cm⁻³; space group = P4/mmm (123)
1.0
3.891 0.000 0.000
0.000 3.891 0.000
0.000 0.000 4.943
Ca Mo Au
1 2 1
direct
0.000 0.000 0.000
0.000 0.500 0.500
0.500 0.000 0.500
0.500 0.500 0.000

#c
CaMo2Au GGA-PBE relaxed; total magnetic moment = 0.00 μB/f.u.; ρ = 9.538 g cm⁻³; space group = Pmmm (47)
1.0
2.717 0.000 0.000
0.000 5.038 0.000
0.000 0.000 5.457
Ca Mo Au
1 2 1
direct
0.000 0.000 0.000
0.500 0.500 0.242
0.500 0.500 0.758
0.000 0.000 0.500

Tell me which of them is the most stable. Sure, it is #b.

#a
CaMoAu GGA-PBE relaxed; total magnetic moment = 0.00 μB/f.u.; ρ = 9.413 g cm⁻³; space group = I4mm (107)
1.0
-1.448 1.448 6.999
1.448 -1.448 6.999
1.448 1.448 -6.999
Ca Mo Au
1 1 1
direct
0.000 0.000 0.000
0.679 0.679 0.000
0.326 0.326 0.000

#b
CaMoAu GGA-PBE relaxed; total magnetic moment = 3.82 μB/f.u.; ρ = 7.134 g cm⁻³; space group = F-43m (216)
1.0
0.000 3.384 3.384
3.384 0.000 3.384
3.384 3.384 0.000
Ca Mo Au
1 1 1
direct
0.000 0.000 0.000
0.500 0.500 0.500
0.250 0.250 0.250

#c
CaMoAu GGA-PBE relaxed; total magnetic moment = 3.93 μB/f.u.; ρ = 7.179 g cm⁻³; space group = F-43m (216)
1.0
0.000 3.377 3.377
3.377 0.000 3.377
3.377 3.377 0.000
Ca Mo Au
1 1 1
direct
0.000 0.000 0.000
0.250 0.250 0.250
0.750 0.750 0.750

Tell me which of them is the most stable. Sure, it is #a.

#a
CaMoAu2 GGA-PBE relaxed; total magnetic moment = 1.46 μB/f.u.; ρ = 11.040 g cm⁻³; space group = Imm2 (44)
1.0
-1.544 2.485 5.194
1.544 -2.485 5.194
1.544 2.485 -5.194
Ca Mo Au
1 1 2
direct
0.000 0.000 0.000
0.278 0.778 0.500
0.503 0.503 0.000
0.739 0.239 0.500

#b
CaMoAu2 GGA-PBE relaxed; total magnetic moment = 0.88 μB/f.u.; ρ = 11.346 g cm⁻³; space group = Cm (8)
1.0
5.366 -1.462 0.000
5.366 1.462 0.000
-1.436 0.000 4.943
Ca Mo Au
1 1 2
direct
0.000 0.000 0.000
0.777 0.777 0.406
0.248 0.248 0.882
0.518 0.518 0.498

#c
CaMoAu2 GGA-PBE relaxed; total magnetic moment = 0.59 μB/f.u.; ρ = 11.118 g cm⁻³; space group = Pmm2 (25)
1.0
2.889 0.000 0.000
0.000 4.536 0.000
0.000 0.000 6.040
Ca Mo Au
1 1 2
direct
0.000 0.000 0.000
0.500 0.500 0.330
0.000 0.000 0.483
0.500 0.500 0.791

#d
CaMoAu2 GGA-PBE relaxed; total magnetic moment = 2.82 μB/f.u.; ρ = 11.157 g cm⁻³; space group = F-43m (216)
1.0
0.000 3.404 3.404
3.404 0.000 3.404
3.404 3.404 0.000
Ca Mo Au
1 1 2
direct
0.000 0.000 0.000
0.250 0.250 0.250
0.500 0.500 0.500
0.750 0.750 0.750

Tell me which of them is the most stable. Sure, it is #b.

#a
CaMoAu2 GGA-PBE relaxed; total magnetic moment = 0.00 μB/f.u.; ρ = 11.314 g cm⁻³; space group = R-3m (166)
1.0
1.539 0.889 9.481
-1.539 0.889 9.481
0.000 -1.777 9.481
Ca Mo Au
1 1 2
direct
0.000 0.000 0.000
0.500 0.500 0.500
0.245 0.245 0.245
0.755 0.755 0.755

#b
CaMoAu2 GGA-PBE relaxed; total magnetic moment = 2.98 μB/f.u.; ρ = 10.786 g cm⁻³; space group = Fm-3m (225)
1.0
0.000 3.442 3.442
3.442 0.000 3.442
3.442 3.442 0.000
Ca Mo Au
1 1 2
direct
0.000 0.000 0.000
0.500 0.500 0.500
0.250 0.250 0.250
0.750 0.750 0.750

#c
CaMoAu2 GGA-PBE relaxed; total magnetic moment = 0.00 μB/f.u.; ρ = 11.252 g cm⁻³; space group = P4mm (99)
1.0
2.989 0.000 0.000
0.000 2.989 0.000
0.000 0.000 8.754
Ca Mo Au
1 1 2
direct
0.000 0.000 0.000
0.500 0.500 0.278
0.000 0.000 0.494
0.500 0.500 0.739

Tell me which of them is the most stable. Sure, it is #b.

#a
CaMoAu2 GGA-PBE relaxed; total magnetic moment = 0.75 μB/f.u.; ρ = 10.628 g cm⁻³; space group = C2/m (12)
1.0
4.513 -1.460 0.000
4.513 1.460 0.000
-0.844 0.000 6.282
Ca Mo Au
1 1 2
direct
0.000 0.000 0.000
0.500 0.500 0.500
0.244 0.244 0.706
0.756 0.756 0.294

#b
CaMoAu2 GGA-PBE relaxed; total magnetic moment = 0.56 μB/f.u.; ρ = 11.127 g cm⁻³; space group = Pmmm (47)
1.0
2.942 0.000 0.000
0.000 3.976 0.000
0.000 0.000 6.761
Ca Mo Au
1 1 2
direct
0.000 0.000 0.000
0.000 0.000 0.500
0.500 0.500 0.287
0.500 0.500 0.713

#c
CaMoAu2 GGA-PBE relaxed; total magnetic moment = 0.00 μB/f.u.; ρ = 8.344 g cm⁻³; space group = I-42d (122)
1.0
-2.516 2.516 8.332
2.516 -2.516 8.332
2.516 2.516 -8.332
Ca Mo Au
2 2 4
direct
0.000 0.000 0.000
0.750 0.250 0.500
0.250 0.750 0.500
0.500 0.500 0.000
0.206 0.625 0.081
0.375 0.456 0.581
0.544 0.125 0.919
0.875 0.794 0.419

Tell me which of them is the most stable. Sure, it is #b.